Density functional theory data (SCAN) for a PBEsol-optimized structure of BeFe2Se.

Properties
Calculated volume = 11.41 Å³/atom
Crystal system = orthorhombic
Spin magnetization = 4.86 μB per formula unit
Formation energy from raw total energies = 202.9 meV/atom

Unit cell a=3.237 b=3.586 c=3.932 alpha=90.00 beta=90.00 gamma=90.00
Site moments in Bohr magnetons follow the coordinates.
Fractional positions:
Be1 0.000 0.500 0.500  -0.09
Fe1 0.000 0.000 0.000  2.49
Fe2 0.500 0.000 0.500  2.55
Se1 0.500 0.500 0.000  0.01

---

Density functional theory data (SCAN) for a PBEsol-optimized structure of InSiAu2.

Properties
Calculated volume = 17.96 Å³/atom
Crystal system = tetragonal
Spin magnetization = 0.00 μB per formula unit
Formation energy from raw total energies = 202.2 meV/atom

Unit cell a=4.216 b=4.216 c=5.022 alpha=114.82 beta=114.82 gamma=90.00
Fractional positions:
Au1 0.750 0.250 0.500
Au2 0.250 0.750 0.500
In1 0.500 0.500 0.000
Si1 0.000 0.000 0.000

---

Density functional theory data (SCAN) for a PBEsol-optimized structure of BaTe2Br.

Properties
Calculated volume = 31.60 Å³/atom
Crystal system = tetragonal
Excess energy over the best structure of this formula in the dataset = 13 meV/atom
Spin magnetization = 0.00 μB per formula unit
Formation energy from raw total energies = -1373.0 meV/atom

Unit cell a=4.472 b=4.472 c=6.320 alpha=90.00 beta=90.00 gamma=90.00
Fractional positions:
Te1 0.000 0.500 0.000
Te2 0.500 0.000 0.000
Ba1 0.500 0.500 0.500
Br1 0.000 0.000 0.500

---

Density functional theory data (SCAN) for a PBEsol-optimized structure of KCr2Co.

Properties
Calculated volume = 14.57 Å³/atom
Energy of formation from the pure elements = 1.550 eV per atom
Crystal system = monoclinic
Excess energy over the best structure of this formula in the dataset = 848 meV/atom
Spin magnetization = 4.68 μB per formula unit

Unit cell a=2.426 b=5.102 c=5.453 alpha=116.22 beta=99.66 gamma=96.70
Site moments in Bohr magnetons follow the coordinates.
Fractional positions:
Co1 0.500 0.000 0.000  1.69
Cr1 0.500 0.500 0.500  1.40
Cr2 0.000 0.000 0.500  1.40
K1 0.000 0.500 0.000  0.02

---

Density functional theory data (SCAN) for a PBEsol-optimized structure of PIrW2.

Properties
Calculated volume = 14.32 Å³/atom
Energy of formation from the pure elements = 0.110 eV per atom
Crystal system = trigonal
Spin magnetization = 0.00 μB per formula unit

Unit cell a=2.804 b=2.804 c=8.571 alpha=80.59 beta=80.59 gamma=60.00
Fractional positions:
Ir1 0.500 0.500 0.500
P1 0.000 0.000 0.000
W1 0.255 0.255 0.236
W2 0.745 0.745 0.764

---

Density functional theory data (SCAN) for a PBEsol-optimized structure of MnHg2Ir.

Properties
Calculated volume = 16.75 Å³/atom
Energy of formation from the pure elements = 0.225 eV per atom
Crystal system = cubic
Excess energy over the best structure of this formula in the dataset = 157 meV/atom
Spin magnetization = 4.15 μB per formula unit

Unit cell a=4.559 b=4.559 c=4.559 alpha=60.00 beta=60.00 gamma=60.00
Site moments in Bohr magnetons follow the coordinates.
Fractional positions:
Hg1 0.250 0.250 0.250  -0.03
Hg2 0.750 0.750 0.750  -0.03
Ir1 0.000 0.000 0.000  0.05
Mn1 0.500 0.500 0.500  4.14

---

Density functional theory data (SCAN) for a PBEsol-optimized structure of Zr2Co.

Properties
Calculated volume = 17.88 Å³/atom
Energy of formation from the pure elements = -0.147 eV per atom
Crystal system = cubic
Spin magnetization = 0.00 μB per formula unit

Unit cell a=8.467 b=8.467 c=8.467 alpha=60.00 beta=60.00 gamma=60.00
Fractional positions:
Co1 0.847 0.458 0.847
Co2 0.847 0.847 0.458
Co3 0.847 0.847 0.847
Co4 0.458 0.847 0.847
Co5 0.403 0.792 0.403
Co6 0.403 0.403 0.792
Co7 0.403 0.403 0.403
Co8 0.792 0.403 0.403
Zr1 0.125 0.625 0.625
Zr2 0.625 0.625 0.625
Zr3 0.625 0.625 0.125
Zr4 0.625 0.125 0.625
Zr5 0.062 0.438 0.438
Zr6 0.062 0.438 0.062
Zr7 0.438 0.438 0.062
Zr8 0.062 0.062 0.438
Zr9 0.438 0.062 0.438
Zr10 0.438 0.062 0.062
Zr11 0.188 0.812 0.812
Zr12 0.188 0.812 0.188
Zr13 0.812 0.812 0.188
Zr14 0.188 0.188 0.812
Zr15 0.812 0.188 0.812
Zr16 0.812 0.188 0.188

---

Density functional theory data (SCAN) for a PBEsol-optimized structure of FeNiP6.

Properties
Calculated volume = 14.14 Å³/atom
Energy of formation from the pure elements = -0.434 eV per atom
Crystal system = monoclinic
Spin magnetization = 0.00 μB per formula unit

Unit cell a=6.644 b=6.644 c=6.655 alpha=109.53 beta=109.46 gamma=109.35
Fractional positions:
Fe1 0.000 0.500 0.000
Fe2 0.500 0.000 0.000
Ni1 0.500 0.500 0.500
Ni2 0.000 0.000 0.500
P1 0.657 0.148 0.805
P2 0.343 0.852 0.195
P3 0.647 0.855 0.502
P4 0.353 0.145 0.498
P5 0.859 0.505 0.657
P6 0.141 0.495 0.343
P7 0.152 0.798 0.657
P8 0.848 0.202 0.343
P9 0.495 0.343 0.141
P10 0.505 0.657 0.859
P11 0.202 0.353 0.859
P12 0.798 0.647 0.141

---

Density functional theory data (SCAN) for a PBEsol-optimized structure of ZrAsAu3.

Properties
Calculated volume = 26.01 Å³/atom
Energy of formation from the pure elements = 0.956 eV per atom
Crystal system = cubic
Spin magnetization = 0.00 μB per formula unit

Unit cell a=5.066 b=5.066 c=5.066 alpha=90.00 beta=90.00 gamma=90.00
Fractional positions:
As1 0.500 0.500 0.500
Au1 0.000 0.500 0.000
Au2 0.000 0.000 0.500
Au3 0.500 0.000 0.000
Zr1 0.000 0.000 0.000

---

Density functional theory data (SCAN) for a PBEsol-optimized structure of Na2ZnSn2.

Properties
Calculated volume = 25.49 Å³/atom
Energy of formation from the pure elements = -0.140 eV per atom
Crystal system = tetragonal
Spin magnetization = 0.00 μB per formula unit

Unit cell a=5.069 b=7.090 c=7.090 alpha=90.00 beta=90.00 gamma=90.00
Fractional positions:
Na1 0.500 0.165 0.665
Na2 0.500 0.665 0.835
Na3 0.500 0.835 0.335
Na4 0.500 0.335 0.165
Zn1 0.000 0.000 0.000
Zn2 0.000 0.500 0.500
Sn1 0.000 0.355 0.855
Sn2 0.000 0.855 0.645
Sn3 0.000 0.645 0.145
Sn4 0.000 0.145 0.355

---

Density functional theory data (SCAN) for a PBEsol-optimized structure of MnFe.

Properties
Calculated volume = 9.99 Å³/atom
Energy of formation from the pure elements = 0.299 eV per atom
Crystal system = orthorhombic
Spin magnetization = 0.00 μB per formula unit

Unit cell a=3.873 b=4.227 c=4.880 alpha=90.00 beta=90.00 gamma=90.00
Fractional positions:
Fe1 0.750 0.916 0.874
Fe2 0.250 0.584 0.374
Fe3 0.750 0.416 0.626
Fe4 0.250 0.084 0.126
Mn1 0.750 0.915 0.376
Mn2 0.250 0.585 0.876
Mn3 0.750 0.415 0.124
Mn4 0.250 0.085 0.624

---

Density functional theory data (SCAN) for a PBEsol-optimized structure of ThAs8O18.

Properties
Calculated volume = 15.03 Å³/atom
Crystal system = monoclinic
Spin magnetization = 0.00 μB per formula unit
Formation energy from raw total energies = -1622.9 meV/atom

Unit cell a=5.224 b=9.446 c=17.314 alpha=98.27 beta=90.00 gamma=106.05
Fractional positions:
Th1 0.725 0.000 0.250
Th2 0.275 0.000 0.750
As1 0.306 0.248 0.977
As2 0.058 0.752 0.523
As3 0.694 0.752 0.023
As4 0.942 0.248 0.477
As5 0.049 0.375 0.136
As6 0.674 0.625 0.364
As7 0.951 0.625 0.864
As8 0.326 0.375 0.636
As9 0.071 0.699 0.223
As10 0.372 0.301 0.277
As11 0.929 0.301 0.777
As12 0.628 0.699 0.723
As13 0.233 0.006 0.093
As14 0.227 0.994 0.407
As15 0.767 0.994 0.907
As16 0.773 0.006 0.593
O1 0.088 0.576 0.139
O2 0.512 0.424 0.361
O3 0.912 0.424 0.861
O4 0.488 0.576 0.639
O5 0.888 0.580 0.284
O6 0.307 0.420 0.216
O7 0.112 0.420 0.716
O8 0.693 0.580 0.784
O9 0.046 0.862 0.023
O10 0.184 0.138 0.477
O11 0.954 0.138 0.977
O12 0.816 0.862 0.523
O13 0.373 0.785 0.266
O14 0.588 0.215 0.234
O15 0.627 0.215 0.734
O16 0.412 0.785 0.766
O17 0.448 0.935 0.135
O18 0.514 0.065 0.365
O19 0.552 0.065 0.865
O20 0.486 0.935 0.635
O21 0.429 0.133 0.037
O22 0.296 0.867 0.463
O23 0.571 0.867 0.963
O24 0.704 0.133 0.537
O25 0.271 0.387 0.055
O26 0.884 0.613 0.445
O27 0.729 0.613 0.945
O28 0.116 0.387 0.555
O29 0.902 0.809 0.190
O30 0.093 0.191 0.310
O31 0.098 0.191 0.810
O32 0.907 0.809 0.690
O33 0.042 0.094 0.150
O34 0.948 0.906 0.350
O35 0.958 0.906 0.850
O36 0.052 0.094 0.650

---

Density functional theory data (SCAN) for a PBEsol-optimized structure of InOsCl2.

Properties
Calculated volume = 21.61 Å³/atom
Crystal system = orthorhombic
Excess energy over the best structure of this formula in the dataset = 16 meV/atom
Spin magnetization = 0.00 μB per formula unit
Formation energy from raw total energies = 5.7 meV/atom

Unit cell a=3.621 b=5.351 c=5.204 alpha=120.98 beta=90.00 gamma=90.00
Fractional positions:
Cl1 0.000 0.333 0.166
Cl2 0.000 0.667 0.834
Os1 0.500 0.500 0.500
In1 0.500 0.000 0.500

---

Density functional theory data (SCAN) for a PBEsol-optimized structure of MoAuSN2.

Properties
Calculated volume = 14.96 Å³/atom
Crystal system = tetragonal
Spin magnetization = 1.42 μB per formula unit
Formation energy from raw total energies = 1792.3 meV/atom

Unit cell a=3.933 b=3.933 c=4.835 alpha=90.00 beta=90.00 gamma=90.00
Site moments in Bohr magnetons follow the coordinates.
Fractional positions:
Mo1 0.500 0.500 0.500  3.51
Au1 0.000 0.000 0.000  -0.16
S1 0.000 0.000 0.500  -0.11
N1 0.000 0.500 0.000  -0.80
N2 0.500 0.000 0.000  -0.80

---

Density functional theory data (SCAN) for a PBEsol-optimized structure of Li2ZrCo.

Properties
Calculated volume = 15.06 Å³/atom
Energy of formation from the pure elements = 0.139 eV per atom
Crystal system = tetragonal
Excess energy over the best structure of this formula in the dataset = 77 meV/atom
Spin magnetization = 0.00 μB per formula unit

Unit cell a=3.518 b=3.518 c=4.868 alpha=90.00 beta=90.00 gamma=90.00
Fractional positions:
Co1 0.000 0.000 0.500
Li1 0.000 0.500 0.000
Li2 0.500 0.000 0.000
Zr1 0.500 0.500 0.500

---

Density functional theory data (SCAN) for a PBEsol-optimized structure of LiYIn2.

Properties
Calculated volume = 24.18 Å³/atom
Energy of formation from the pure elements = -0.384 eV per atom
Crystal system = orthorhombic
Spin magnetization = 0.00 μB per formula unit

Unit cell a=3.804 b=4.923 c=6.028 alpha=114.08 beta=108.39 gamma=90.00
Fractional positions:
In1 0.010 0.010 0.019
In2 0.730 0.230 0.460
Li1 0.497 0.497 0.995
Y1 0.263 0.763 0.526

---

Density functional theory data (SCAN) for a PBEsol-optimized structure of LiSn3Pd.

Properties
Calculated volume = 27.92 Å³/atom
Energy of formation from the pure elements = 0.091 eV per atom
Crystal system = cubic
Spin magnetization = 0.00 μB per formula unit

Unit cell a=5.187 b=5.187 c=5.187 alpha=90.00 beta=90.00 gamma=90.00
Fractional positions:
Sn1 0.000 0.500 0.000
Sn2 0.000 0.000 0.500
Sn3 0.500 0.000 0.000
Pd1 0.000 0.000 0.000
Li1 0.500 0.500 0.500

---

Density functional theory data (SCAN) for a PBEsol-optimized structure of SrScCl2.

Properties
Calculated volume = 26.72 Å³/atom
Crystal system = trigonal
Excess energy over the best structure of this formula in the dataset = 0 meV/atom
Spin magnetization = 0.91 μB per formula unit
Formation energy from raw total energies = -1439.5 meV/atom

Unit cell a=3.708 b=3.708 c=9.228 alpha=78.41 beta=78.41 gamma=60.00
Site moments in Bohr magnetons follow the coordinates.
Fractional positions:
Sc1 0.000 0.000 0.000  0.20
Sr1 0.500 0.500 0.500  0.18
Cl1 0.907 0.907 0.279  0.00
Cl2 0.093 0.093 0.721  0.00

---

Density functional theory data (SCAN) for a PBEsol-optimized structure of LiAgP2.

Properties
Calculated volume = 15.35 Å³/atom
Energy of formation from the pure elements = 0.198 eV per atom
Crystal system = tetragonal
Excess energy over the best structure of this formula in the dataset = 308 meV/atom
Spin magnetization = 0.00 μB per formula unit

Unit cell a=2.570 b=2.570 c=9.294 alpha=90.00 beta=90.00 gamma=90.00
Fractional positions:
P1 0.000 0.000 0.955
P2 0.500 0.500 0.275
Ag1 0.000 0.000 0.515
Li1 0.500 0.500 0.754

---

Density functional theory data (SCAN) for a PBEsol-optimized structure of NaRe3Si.

Properties
Calculated volume = 17.06 Å³/atom
Crystal system = cubic
Spin magnetization = 5.04 μB per formula unit
Formation energy from raw total energies = 3288.5 meV/atom

Unit cell a=4.402 b=4.402 c=4.402 alpha=90.00 beta=90.00 gamma=90.00
Site moments in Bohr magnetons follow the coordinates.
Fractional positions:
Re1 0.000 0.500 0.000  1.38
Re2 0.000 0.000 0.500  1.38
Re3 0.500 0.000 0.000  1.38
Si1 0.500 0.500 0.500  -0.12
Na1 0.000 0.000 0.000  0.10